Here is a geometry-optimized Cs2CePrO4 structure from the Alexandria database. Energies are from PBE.

a = 6.435 Å, b = 3.719 Å, c = 7.290 Å
α = 90.00°, β = 107.11°, γ = 90.00°
Sites, in units of the cell vectors:
Cs: 0.000 0.000 0.000
Cs: 0.500 0.500 0.000
Ce: 0.000 0.500 0.500
Pr: 0.500 0.000 0.500
O: 0.215 0.000 0.664
O: 0.271 0.500 0.336
O: 0.729 0.500 0.664
O: 0.785 0.000 0.336

Volume, Å³/atom: 20.84
D(E_F), states/eV/atom: 0.522
Uncorrected energy, eV/atom: -6.533
Space-group type: No. 10